# 1
VASP calculation (PBE) on InMo2P after structural relaxation.

```
4
Lattice="1.673 -2.522 0.000 1.673 2.522 0.000 0.000 0.000 7.990" Properties=species:S:1:pos:R:3 pbc="T T T"
In 0.000 0.000 0.000
Mo 1.673 0.000 2.363
Mo 1.673 0.000 5.627
P 0.000 0.000 3.995
```

## Properties
Calculated formation energy in eV per atom: 0.13
Mass density in Mg/m³: 8.314
Crystal system: orthorhombic
Raw total energy in eV for the cell shown: -29.28

---

# 2
VASP calculation (PBE) on InMo2P after structural relaxation.

```
4
Lattice="4.622 -1.585 0.000 4.622 1.585 0.000 -1.509 0.000 4.615" Properties=species:S:1:pos:R:3 pbc="T T T"
In 0.000 0.000 0.000
Mo 1.033 0.000 3.607
Mo 3.626 0.000 2.172
P 6.278 0.000 1.893
```

## Properties
Calculated formation energy in eV per atom: 0.21
Mass density in Mg/m³: 8.292
Crystal system: monoclinic
Raw total energy in eV for the cell shown: -28.98

---

# 3
VASP calculation (PBE) on InMo2P after structural relaxation.

```
4
Lattice="2.844 -4.258 0.000 2.844 4.258 0.000 -1.074 0.000 2.745" Properties=species:S:1:pos:R:3 pbc="T T T"
In 0.000 0.000 0.000
Mo 0.885 2.129 1.372
Mo 0.885 -2.129 1.372
P 2.844 0.000 0.000
```

## Properties
Calculated formation energy in eV per atom: 0.46
Mass density in Mg/m³: 8.435
Crystal system: monoclinic
Raw total energy in eV for the cell shown: -27.95

---

# 4
VASP calculation (PBE) on InMo3P after structural relaxation.

```
5
Lattice="4.896 0.000 0.000 0.000 4.896 0.000 0.000 0.000 4.896" Properties=species:S:1:pos:R:3 pbc="T T T"
In 0.000 0.000 0.000
Mo 0.000 0.000 2.448
Mo 0.000 2.448 0.000
Mo 2.448 0.000 0.000
P 2.448 2.448 2.448
```

## Properties
Calculated formation energy in eV per atom: 2.67
Mass density in Mg/m³: 6.135
Crystal system: cubic
Raw total energy in eV for the cell shown: -27.31

---

# 5
VASP calculation (PBE) on InMo2P after structural relaxation.

```
4
Lattice="0.000 3.229 3.229 3.229 0.000 3.229 3.229 3.229 0.000" Properties=species:S:1:pos:R:3 pbc="T T T"
In 0.000 0.000 0.000
Mo 3.229 3.229 3.229
Mo 4.844 4.844 4.844
P 1.615 1.615 1.615
```

## Properties
Calculated formation energy in eV per atom: 0.47
Mass density in Mg/m³: 8.324
Crystal system: cubic
Raw total energy in eV for the cell shown: -27.94

---

# 6
VASP calculation (PBE) on InMo2P after structural relaxation.

```
8
Lattice="-1.989 1.989 9.288 1.989 -1.989 9.288 1.989 1.989 -9.288" Properties=species:S:1:pos:R:3 pbc="T T T"
In 0.000 0.000 0.000
In 0.000 1.989 4.644
Mo 0.995 -0.751 6.966
Mo 1.238 0.995 2.322
Mo 0.995 2.740 -2.322
Mo 0.751 0.995 11.610
P 1.989 0.000 4.644
P 0.000 0.000 9.288
```

## Properties
Calculated formation energy in eV per atom: 0.50
Mass density in Mg/m³: 7.629
Crystal system: tetragonal
Raw total energy in eV for the cell shown: -55.66

---

# 7
VASP calculation (PBE) on InMo3P after structural relaxation.

```
5
Lattice="4.495 0.000 0.000 0.000 4.495 0.000 0.000 0.000 4.495" Properties=species:S:1:pos:R:3 pbc="T T T"
In 0.000 0.000 0.000
Mo 0.000 2.247 2.247
Mo 2.247 0.000 2.247
Mo 2.247 2.247 0.000
P 2.247 2.247 2.247
```

## Properties
Calculated formation energy in eV per atom: 0.40
Mass density in Mg/m³: 7.929
Crystal system: cubic
Raw total energy in eV for the cell shown: -38.62

---

# 8
VASP calculation (PBE) on In4MoP after structural relaxation.

```
6
Lattice="0.000 4.040 4.040 4.040 0.000 4.040 4.040 4.040 0.000" Properties=species:S:1:pos:R:3 pbc="T T T"
In 1.009 1.009 1.009
In 3.031 3.031 1.009
In 3.031 1.009 3.031
In 1.009 3.031 3.031
Mo 6.061 6.061 6.061
P 4.040 4.040 4.040
```

## Properties
Calculated formation energy in eV per atom: 0.85
Mass density in Mg/m³: 7.379
Crystal system: cubic
Raw total energy in eV for the cell shown: -22.12

---

# 9
VASP calculation (PBE) on InMo2P after structural relaxation.

```
4
Lattice="3.204 0.000 0.000 0.000 3.204 0.000 0.000 0.000 6.570" Properties=species:S:1:pos:R:3 pbc="T T T"
In 0.000 0.000 0.000
Mo 0.000 0.000 3.495
Mo 1.602 1.602 1.856
P 1.602 1.602 4.498
```

## Properties
Calculated formation energy in eV per atom: -0.08
Mass density in Mg/m³: 8.315
Crystal system: tetragonal
Raw total energy in eV for the cell shown: -30.13

---

# 10
VASP calculation (PBE) on InMoPS2 after structural relaxation.

```
5
Lattice="4.757 0.000 0.000 0.000 4.757 0.000 0.000 0.000 4.783" Properties=species:S:1:pos:R:3 pbc="T T T"
In 0.000 0.000 0.000
Mo 2.378 2.378 2.391
P 2.378 2.378 0.000
S 0.000 2.378 2.391
S 2.378 0.000 2.391
```

## Properties
Uncorrected formation energy in eV/atom: 0.042
Mass density in Mg/m³: 4.694
Crystal system: tetragonal
Raw total energy in eV for the cell shown: -27.03

---

# 11
VASP calculation (PBE) on InMoPS2 after structural relaxation.

```
5
Lattice="4.966 0.000 0.000 0.000 4.966 0.000 0.000 0.000 4.970" Properties=species:S:1:pos:R:3 pbc="T T T"
In 0.000 0.000 0.000
Mo 2.483 2.483 2.485
P 0.000 0.000 2.485
S 0.000 2.483 0.000
S 2.483 0.000 0.000
```

## Properties
Uncorrected formation energy in eV/atom: 1.214
Mass density in Mg/m³: 4.143
Crystal system: tetragonal
Raw total energy in eV for the cell shown: -21.17

---

# 12
VASP calculation (PBE) on Pa2InMo after structural relaxation.

```
4
Lattice="3.241 0.000 0.000 0.000 3.241 0.000 0.000 0.000 8.891" Properties=species:S:1:pos:R:3 pbc="T T T"
Pa 0.000 0.000 1.880
Pa 0.000 0.000 7.011
In 1.620 1.620 4.446
Mo 1.620 1.620 0.000
```

## Properties
Calculated formation energy in eV per atom: 0.03
Mass density in Mg/m³: 11.964
Crystal system: tetragonal
Raw total energy in eV for the cell shown: -32.45

---

# 13
VASP calculation (PBE) on Pa2InMo after structural relaxation.

```
4
Lattice="4.451 0.000 0.000 0.000 4.451 0.000 0.000 0.000 4.482" Properties=species:S:1:pos:R:3 pbc="T T T"
Pa 0.000 2.225 0.000
Pa 2.225 0.000 0.000
In 0.000 0.000 2.241
Mo 2.225 2.225 2.241
```

## Properties
Calculated formation energy in eV per atom: 0.11
Mass density in Mg/m³: 12.586
Crystal system: tetragonal
Raw total energy in eV for the cell shown: -32.12

---

# 14
VASP calculation (PBE) on Pa2InMo after structural relaxation.

```
4
Lattice="0.000 3.606 3.606 3.606 0.000 3.606 3.606 3.606 0.000" Properties=species:S:1:pos:R:3 pbc="T T T"
Pa 1.803 1.803 1.803
Pa 5.409 5.409 5.409
In 0.000 0.000 0.000
Mo 3.606 3.606 3.606
```

## Properties
Calculated formation energy in eV per atom: 0.28
Mass density in Mg/m³: 11.916
Crystal system: cubic
Raw total energy in eV for the cell shown: -31.42

---

# 15
VASP calculation (PBE) on PaTiInMo after structural relaxation.

```
4
Lattice="0.000 3.380 3.380 3.380 0.000 3.380 3.380 3.380 0.000" Properties=species:S:1:pos:R:3 pbc="T T T"
Pa 0.000 0.000 0.000
Ti 1.690 1.690 1.690
In 3.380 3.380 3.380
Mo 5.070 5.070 5.070
```

## Properties
Calculated formation energy in eV per atom: 0.03
Mass density in Mg/m³: 10.528
Crystal system: cubic
Raw total energy in eV for the cell shown: -30.86

---

# 16
VASP calculation (PBE) on InMo2Pb after structural relaxation.

```
4
Lattice="3.083 0.000 0.000 0.000 4.664 0.000 -0.546 0.000 5.673" Properties=species:S:1:pos:R:3 pbc="T T T"
In 0.000 0.000 0.000
Mo 0.587 2.332 4.506
Mo 1.949 2.332 1.167
Pb 1.268 0.000 2.836
```

## Properties
Calculated formation energy in eV per atom: 0.63
Mass density in Mg/m³: 10.463
Crystal system: monoclinic
Raw total energy in eV for the cell shown: -25.57

---

# 17
VASP calculation (PBE) on InMo2Pb after structural relaxation.

```
8
Lattice="-3.851 3.851 2.890 3.851 -3.851 2.890 3.851 3.851 -2.890" Properties=species:S:1:pos:R:3 pbc="T T T"
In 0.000 0.000 0.000
In 0.000 3.851 1.445
Mo 5.776 1.921 -0.723
Mo 1.921 1.925 0.723
Mo -1.925 1.929 2.168
Mo 1.929 1.925 3.613
Pb 3.851 0.000 1.445
Pb 0.000 0.000 2.890
```

## Properties
Calculated formation energy in eV per atom: 1.12
Mass density in Mg/m³: 9.957
Crystal system: tetragonal
Raw total energy in eV for the cell shown: -47.24

---

# 18
VASP calculation (PBE) on InMo3Pb after structural relaxation.

```
5
Lattice="4.932 0.000 0.000 0.000 4.932 0.000 0.000 0.000 4.932" Properties=species:S:1:pos:R:3 pbc="T T T"
In 0.000 0.000 0.000
Mo 0.000 0.000 2.466
Mo 0.000 2.466 0.000
Mo 2.466 0.000 0.000
Pb 2.466 2.466 2.466
```

## Properties
Calculated formation energy in eV per atom: 2.19
Mass density in Mg/m³: 8.440
Crystal system: cubic
Raw total energy in eV for the cell shown: -28.00

---

# 19
VASP calculation (PBE) on In2MoPb after structural relaxation.

```
4
Lattice="3.331 0.000 0.000 0.000 5.091 0.000 0.000 0.000 5.295" Properties=species:S:1:pos:R:3 pbc="T T T"
In 0.000 0.000 0.000
In 1.666 2.545 0.000
Mo 0.000 2.545 2.647
Pb 1.666 0.000 2.647
```

## Properties
Calculated formation energy in eV per atom: 0.62
Mass density in Mg/m³: 9.853
Crystal system: orthorhombic
Raw total energy in eV for the cell shown: -17.54

---

# 20
VASP calculation (PBE) on In2MoPb after structural relaxation.

```
4
Lattice="3.243 0.000 0.000 0.000 5.034 0.000 -1.351 0.000 5.598" Properties=species:S:1:pos:R:3 pbc="T T T"
In 0.057 0.000 1.517
In 1.835 0.000 4.081
Mo 0.946 2.517 2.799
Pb 1.621 2.517 0.000
```

## Properties
Calculated formation energy in eV per atom: 0.51
Mass density in Mg/m³: 9.681
Crystal system: monoclinic
Raw total energy in eV for the cell shown: -17.96